Entry 1:
Compound: Nd2ErTl2Cd4
Source: the Open Quantum Materials Database
Functional: PBE
Structure: optimized geometry

a b c (Å): 4.6411 13.1172 7.7216
angles (deg): 90.00 90.00 90.00
Space group Amm2 (No. 38)
Unique sites:
Nd 0.0000 0.2114 0.0000 (multiplicity 4)
Er 0.0000 0.0000 0.6369 (multiplicity 2)
Tl 0.5000 0.1629 0.7121 (multiplicity 4)
Cd 0.0000 0.0000 0.2237 (multiplicity 2)
Cd 0.5000 0.0000 0.9784 (multiplicity 2)
Cd 0.5000 0.1201 0.3335 (multiplicity 4)

Output
Electronic total energy (eV/atom): -2.840
Total magnetic moment (μB/f.u.): 0.00


Entry 2:
Compound: BaZrAsO
Source: the Open Quantum Materials Database
Functional: PBE
Structure: optimized geometry

a b c (Å): 4.3346 4.3346 9.0814
angles (deg): 90.00 90.00 90.00
Space group P4/nmm (No. 129, origin choice 2)
Unique sites:
Ba 0.2500 0.7500 0.0000 (multiplicity 2)
Zr 0.2500 0.2500 0.4274 (multiplicity 2)
As 0.2500 0.2500 0.7373 (multiplicity 2)
O 0.2500 0.7500 0.5000 (multiplicity 2)

Output
Polymorph energy (0 for the lowest one) (meV per atom): 596
Total magnetic moment (μB/f.u.): 0.01


Entry 3:
Compound: SrAlAgTe3
Source: the Open Quantum Materials Database
Functional: PBE
Structure: optimized geometry

a b c (Å): 8.5084 4.3170 9.6805
angles (deg): 90.00 103.56 90.00
Space group P2_1/m (No. 11)
Unique sites:
Sr 0.1966 0.2500 0.2653 (multiplicity 2)
Al 0.3303 0.7500 0.8520 (multiplicity 2)
Ag 0.0675 0.2500 0.5859 (multiplicity 2)
Te 0.1145 0.2500 0.8826 (multiplicity 2)
Te 0.2790 0.7500 0.5508 (multiplicity 2)
Te 0.4396 0.7500 0.1432 (multiplicity 2)

Output
Electronic total energy (eV/atom): -3.651


Entry 4:
Compound: UZnMo
Source: the Open Quantum Materials Database
Functional: PBE
Structure: optimized geometry

a b c (Å): 6.2894 6.2894 6.2894
angles (deg): 90.00 90.00 90.00
Space group F-43m (No. 216)
Unique sites:
U 0.0000 0.0000 0.0000 (multiplicity 4)
Zn 0.0000 0.0000 0.5000 (multiplicity 4)
Mo 0.2500 0.2500 0.2500 (multiplicity 4)

Output
DFT formation energy (meV per atom): 702
Polymorph energy (0 for the lowest one) (meV per atom): 0
Total magnetic moment (μB/f.u.): 0.70


Entry 5:
Compound: PrBiS2O
Source: the Open Quantum Materials Database
Functional: PBE
Structure: optimized geometry

a b c (Å): 4.0268 4.0156 14.0987
angles (deg): 90.00 90.52 90.00
Space group P2_1/m (No. 11)
Unique sites:
Pr 0.2472 0.2500 0.4126 (multiplicity 2)
Bi 0.2643 0.2500 0.8672 (multiplicity 2)
S 0.2563 0.2500 0.6893 (multiplicity 2)
S 0.2648 0.2500 0.1090 (multiplicity 2)
O 0.2499 0.7500 0.5001 (multiplicity 2)

Output
Electronic total energy (eV/atom): -6.084
Total magnetic moment (μB/f.u.): 0.01


Entry 6:
Compound: Sc2CuOs
Source: the Open Quantum Materials Database
Functional: PBE
Structure: optimized geometry

a b c (Å): 3.2297 3.2297 6.5328
angles (deg): 90.00 90.00 90.00
Space group P4/mmm (No. 123)
Unique sites:
Sc 0.0000 0.0000 0.2379 (multiplicity 2)
Cu 0.5000 0.5000 0.5000 (multiplicity 1)
Os 0.5000 0.5000 0.0000 (multiplicity 1)

Output
DFT formation energy (meV per atom): -407
Polymorph energy (0 for the lowest one) (meV per atom): 3
Total magnetic moment (μB/f.u.): 0.00


Entry 7:
Compound: Cs2Na2CdP2
Source: the Open Quantum Materials Database
Functional: PBE
Structure: optimized geometry

a b c (Å): 5.3068 5.3068 30.6357
angles (deg): 90.00 90.00 120.00
Space group R-3m (No. 166, hexagonal axes)
Unique sites:
Cs 0.0000 0.0000 0.2056 (multiplicity 6)
Na 0.0000 0.0000 0.3886 (multiplicity 6)
Cd 0.0000 0.0000 0.0000 (multiplicity 3)
P 0.0000 0.0000 0.0785 (multiplicity 6)

Output
Polymorph energy (0 for the lowest one) (meV per atom): 0


Entry 8:
Compound: RbFeGe
Source: the Open Quantum Materials Database
Functional: PBE
Structure: optimized geometry

a b c (Å): 7.5761 7.5761 7.5761
angles (deg): 90.00 90.00 90.00
Space group F-43m (No. 216)
Unique sites:
Rb 0.0000 0.0000 0.0000 (multiplicity 4)
Fe 0.2500 0.2500 0.7500 (multiplicity 4)
Ge 0.2500 0.2500 0.2500 (multiplicity 4)

Output
Polymorph energy (0 for the lowest one) (meV per atom): 722
Total magnetic moment (μB/f.u.): 2.27


Entry 9:
Compound: ThNb
Source: the Open Quantum Materials Database
Functional: PBE
Structure: optimized geometry

a b c (Å): 3.2243 3.2243 5.4387
angles (deg): 90.00 90.00 120.00
Space group P-6m2 (No. 187)
Unique sites:
Th 0.0000 0.0000 0.0000 (multiplicity 1)
Nb 0.3333 0.6667 0.5000 (multiplicity 1)

Output
DFT formation energy (meV per atom): 532
Polymorph energy (0 for the lowest one) (meV per atom): 0
Total magnetic moment (μB/f.u.): 0.03


Entry 10:
Compound: SrScAgTe3
Source: the Open Quantum Materials Database
Functional: PBE
Structure: optimized geometry

a b c (Å): 19.1853 4.3069 8.9511
angles (deg): 90.00 101.88 90.00
Space group C2/m (No. 12)
Unique sites:
Sr 0.1305 0.0000 0.0727 (multiplicity 4)
Sc 0.1653 0.0000 0.5876 (multiplicity 4)
Ag 0.0387 0.5000 0.7116 (multiplicity 4)
Te 0.0000 0.0000 0.5000 (multiplicity 2)
Te 0.0000 0.5000 0.0000 (multiplicity 2)
Te 0.1751 0.5000 0.3690 (multiplicity 4)
Te 0.1872 0.5000 0.8225 (multiplicity 4)

Output
Electronic total energy (eV/atom): -4.456
Total magnetic moment (μB/f.u.): 0.00


Entry 11:
Compound: MgAgTeO
Source: the Open Quantum Materials Database
Functional: PBE
Structure: optimized geometry

a b c (Å): 3.4959 3.4959 12.5920
angles (deg): 90.00 90.00 90.00
Space group P4/nmm (No. 129, origin choice 2)
Unique sites:
Mg 0.2500 0.2500 0.0768 (multiplicity 2)
Ag 0.2500 0.7500 0.5000 (multiplicity 2)
Te 0.2500 0.2500 0.6940 (multiplicity 2)
O 0.2500 0.2500 0.9213 (multiplicity 2)

Output
Polymorph energy (0 for the lowest one) (meV per atom): 386


Entry 12:
Compound: PrNd2Mg3Pt2Au
Source: the Open Quantum Materials Database
Functional: PBE
Structure: optimized geometry

a b c (Å): 4.1395 13.2208 7.6283
angles (deg): 90.00 90.00 90.00
Space group Amm2 (No. 38)
Unique sites:
Pr 0.0000 0.0000 0.0000 (multiplicity 2)
Nd 0.0000 0.2085 0.3740 (multiplicity 4)
Mg 0.5000 0.0000 0.3370 (multiplicity 2)
Mg 0.5000 0.1234 0.7052 (multiplicity 4)
Pt 0.5000 0.1677 0.0832 (multiplicity 4)
Au 0.0000 0.0000 0.5813 (multiplicity 2)

Output
Electronic total energy (eV/atom): -4.631
Total magnetic moment (μB/f.u.): 0.00